No. 1
The following is a PBE calculation of a relaxed Zn2InTc2 crystal, from Alexandria.

energy relative to the elements: 0.229 eV/atom

a b c (Å): 6.987 6.987 3.451
angles (deg): 90.00 90.00 90.00
Atoms (fractional coordinates):
Zn 0.827 0.327 0.500
Zn 0.673 0.827 0.500
Zn 0.327 0.173 0.500
Tc 0.119 0.381 0.000
Tc 0.881 0.619 0.000
Zn 0.173 0.673 0.500
Tc 0.619 0.119 0.000
Tc 0.381 0.881 0.000
In 0.000 0.000 0.000
In 0.500 0.500 0.000

No. 2
The following is a PBE calculation of a relaxed CsTl2BiF6 crystal, from Alexandria.

formation energy without anion corrections: -2.268 eV/atom

a b c (Å): 6.698 7.261 9.774
angles (deg): 90.00 88.57 90.00
Atoms (fractional coordinates):
Cs 0.500 0.000 0.000
F 0.365 0.741 0.405
F 0.201 0.143 0.463
F 0.701 0.357 0.963
F 0.631 0.090 0.290
F 0.131 0.410 0.790
Tl 0.493 0.467 0.235
F 0.135 0.241 0.095
F 0.799 0.857 0.537
F 0.865 0.759 0.905
Bi 0.000 0.500 0.000
Tl 0.993 0.033 0.735
F 0.299 0.643 0.037
Tl 0.507 0.533 0.765
F 0.635 0.259 0.595
Bi 0.500 0.000 0.500
F 0.869 0.590 0.210
Tl 0.007 0.967 0.265
F 0.369 0.910 0.710
Cs 0.000 0.500 0.500

no.,magnetic moment (μB/f.u.),volume (Å³ per cell)
1,0.0,168.5
2,0.0,475.2